1.
# TbPuI5 PBE optimized geometry
data_TbPuI5
_cell_length_a 4.285
_cell_length_b 9.294
_cell_length_c 14.983
_cell_angle_alpha 95.15
_cell_angle_beta 90.00
_cell_angle_gamma 90.00
_space_group_name_H-M_alt 'P 1'
_space_group_IT_number 1
loop_
_space_group_symop_operation_xyz
'x,y,z'
loop_
_atom_site_label
_atom_site_type_symbol
_atom_site_fract_x
_atom_site_fract_y
_atom_site_fract_z
Pu1 Pu 0.250 0.906 0.860
Pu2 Pu 0.750 0.094 0.140
I1 I 0.250 0.369 0.704
I2 I 0.750 0.923 0.695
I3 I 0.750 0.631 0.296
I4 I 0.250 0.678 0.520
I5 I 0.250 0.851 0.071
I6 I 0.250 0.077 0.305
I7 I 0.750 0.646 0.866
I8 I 0.750 0.149 0.929
I9 I 0.250 0.354 0.134
I10 I 0.750 0.322 0.480
Tb1 Tb 0.750 0.585 0.656
Tb2 Tb 0.250 0.415 0.344
# - uncorrected formation energy (eV per atom) = -1.230
# - VASP energy (eV per atom) = -5.046

2.
# ZnInGa PBE optimized geometry
data_ZnInGa
_cell_length_a 3.351
_cell_length_b 6.107
_cell_length_c 6.265
_cell_angle_alpha 81.67
_cell_angle_beta 89.98
_cell_angle_gamma 89.99
_space_group_name_H-M_alt 'P 1'
_space_group_IT_number 1
loop_
_space_group_symop_operation_xyz
'x,y,z'
loop_
_atom_site_label
_atom_site_type_symbol
_atom_site_fract_x
_atom_site_fract_y
_atom_site_fract_z
In1 In 0.691 0.024 0.320
In2 In 0.190 0.578 0.192
Ga1 Ga 0.193 0.708 0.664
Ga2 Ga 0.692 0.362 0.887
Zn1 Zn 0.192 0.002 0.932
Zn2 Zn 0.192 0.277 0.570
# - VASP energy (eV per atom) = -2.268

3.
# PrPuRh PBE optimized geometry
data_PrPuRh
_cell_length_a 3.621
_cell_length_b 3.621
_cell_length_c 6.182
_cell_angle_alpha 107.03
_cell_angle_beta 107.03
_cell_angle_gamma 90.00
_space_group_name_H-M_alt 'P 1'
_space_group_IT_number 1
loop_
_space_group_symop_operation_xyz
'x,y,z'
loop_
_atom_site_label
_atom_site_type_symbol
_atom_site_fract_x
_atom_site_fract_y
_atom_site_fract_z
Rh1 Rh 0.647 0.647 0.294
Pu1 Pu 0.032 0.032 0.065
Pr1 Pr 0.320 0.320 0.641
# - VASP energy (eV per atom) = -9.092
# - relative energy among the computed polymorphs (eV/atom) = 0.137

4.
# K4TeH12 PBE optimized geometry
data_K4TeH12
_cell_length_a 7.654
_cell_length_b 7.654
_cell_length_c 7.654
_cell_angle_alpha 109.47
_cell_angle_beta 109.47
_cell_angle_gamma 109.47
_space_group_name_H-M_alt 'P 1'
_space_group_IT_number 1
loop_
_space_group_symop_operation_xyz
'x,y,z'
loop_
_atom_site_label
_atom_site_type_symbol
_atom_site_fract_x
_atom_site_fract_y
_atom_site_fract_z
H1 H 0.864 0.456 0.320
H2 H 0.544 0.408 0.864
H3 H 0.320 0.864 0.456
H4 H 0.136 0.544 0.680
H5 H 0.864 0.544 0.408
H6 H 0.456 0.592 0.136
H7 H 0.680 0.136 0.544
H8 H 0.592 0.136 0.456
H9 H 0.456 0.320 0.864
H10 H 0.544 0.680 0.136
H11 H 0.136 0.456 0.592
H12 H 0.408 0.864 0.544
K1 K 0.000 0.000 0.500
K2 K 0.500 0.500 0.500
K3 K 0.500 0.000 0.000
K4 K 0.000 0.500 0.000
Te1 Te 0.000 0.000 0.000
# - VASP energy (eV per atom) = -2.888

5.
# Ac2Mg4In3Ga PBE optimized geometry
data_Ac2Mg4In3Ga
_cell_length_a 4.782
_cell_length_b 4.782
_cell_length_c 11.901
_cell_angle_alpha 90.00
_cell_angle_beta 90.00
_cell_angle_gamma 90.00
_space_group_name_H-M_alt 'P 1'
_space_group_IT_number 1
loop_
_space_group_symop_operation_xyz
'x,y,z'
loop_
_atom_site_label
_atom_site_type_symbol
_atom_site_fract_x
_atom_site_fract_y
_atom_site_fract_z
Mg1 Mg 0.000 0.000 0.000
Mg2 Mg 0.000 0.500 0.375
Mg3 Mg 0.500 0.500 0.000
Mg4 Mg 0.500 0.000 0.625
In1 In 0.000 0.500 0.142
In2 In 0.000 0.000 0.500
In3 In 0.500 0.000 0.858
Ac1 Ac 0.000 0.500 0.739
Ac2 Ac 0.500 0.000 0.261
Ga1 Ga 0.500 0.500 0.500
# - VASP energy (eV per atom) = -2.908

6.
# BaMg2Al PBE optimized geometry
data_BaMg2Al
_cell_length_a 6.629
_cell_length_b 7.897
_cell_length_c 18.293
_cell_angle_alpha 90.00
_cell_angle_beta 90.00
_cell_angle_gamma 90.00
_space_group_name_H-M_alt 'P 1'
_space_group_IT_number 1
loop_
_space_group_symop_operation_xyz
'x,y,z'
loop_
_atom_site_label
_atom_site_type_symbol
_atom_site_fract_x
_atom_site_fract_y
_atom_site_fract_z
Ba1 Ba 0.013 0.250 0.640
Ba2 Ba 0.256 0.750 0.103
Ba3 Ba 0.513 0.750 0.860
Ba4 Ba 0.987 0.750 0.360
Ba5 Ba 0.244 0.750 0.603
Ba6 Ba 0.744 0.250 0.897
Ba7 Ba 0.756 0.250 0.397
Ba8 Ba 0.487 0.250 0.140
Mg1 Mg 0.231 0.440 0.962
Mg2 Mg 0.474 0.559 0.289
Mg3 Mg 0.269 0.060 0.462
Mg4 Mg 0.231 0.060 0.962
Mg5 Mg 0.974 0.059 0.211
Mg6 Mg 0.526 0.441 0.711
Mg7 Mg 0.769 0.560 0.038
Mg8 Mg 0.769 0.940 0.038
Mg9 Mg 0.026 0.559 0.789
Mg10 Mg 0.026 0.941 0.789
Mg11 Mg 0.731 0.940 0.538
Mg12 Mg 0.731 0.560 0.538
Mg13 Mg 0.526 0.059 0.711
Mg14 Mg 0.974 0.441 0.211
Mg15 Mg 0.269 0.440 0.462
Mg16 Mg 0.474 0.941 0.289
Al1 Al 0.992 0.250 0.072
Al2 Al 0.263 0.250 0.817
Al3 Al 0.737 0.750 0.183
Al4 Al 0.008 0.750 0.928
Al5 Al 0.492 0.750 0.428
Al6 Al 0.237 0.250 0.317
Al7 Al 0.508 0.250 0.572
Al8 Al 0.763 0.750 0.683
# - VASP energy (eV per atom) = -2.305

Question: VASP energy of number 5 (Ac2Mg4In3Ga)?
Answer: -2.908 eV per atom

Question: Which of these has the highest VASP energy?
Answer: ZnInGa

Question: Among the records above, which one has the highest VASP energy?
Answer: ZnInGa